Here is a geometry-optimized InFe2GeO6 structure from the Alexandria database. Energies are from PBE with a Hubbard U.

Output
Its total energy is -6.201 eV per atom. The density is 6.05 g/cm³. Its space-group type is P1 (1). The size of the total moment comes out at 5.001 Bohr magnetons per cell.

Cell and atoms, written as extended XYZ:
```
10
Lattice="5.1332 0.0000 0.0000 -2.5654 4.4469 0.0000 -0.0397 -2.9259 4.7510" Properties=species:S:1:pos:R:3 pbc="T T T"
In 0.0000 0.0000 0.0000
Fe -0.0335 0.0315 2.9062
Fe 2.5766 1.5017 0.7970
Ge 2.5428 -1.4460 2.6193
O -0.7139 1.4675 1.7030
O 1.0447 -1.3022 3.9053
O 1.5360 -0.1041 1.7061
O 0.6095 1.6211 3.8778
O 1.6525 3.1715 1.7140
O 3.4097 -0.1880 3.8633
```